1.
Here is a relaxed Na2Tl14Te9 crystal from Alexandria via LeMat-Bulk. Energies are from PBE.

a b c (Å): 9.4515 9.4515 13.0861
angles (deg): 90.00 90.00 120.00
With the nearest neighbours (Å) after each atom.
Space group P-3 (No. 147)
Asymmetric unit:
Na (0.3333, 0.6667, 0.2568) [2 per cell]  4 Te 3.10-3.15
Tl (0.0000, 0.0000, 0.2487) [2 per cell]  4 Te 3.11-3.25
Tl (0.0074, 0.6636, 0.9032) [6 per cell]  4 Te 3.34-3.46
Tl (0.1009, 0.4138, 0.5946) [6 per cell]  3 Te 3.28-3.35
Te (0.0000, 0.0000, 0.0000) [1 per cell]  8 Tl 3.25-3.46
Te (0.0851, 0.3307, 0.3498) [6 per cell]  1 Na 3.10, 5 Tl 3.11-3.43
Te (0.3333, 0.6667, 0.0158) [2 per cell]  1 Na 3.15, 6 Tl 3.34-3.40

Values from the calculation:
Total moment   0.00 μB per formula unit
ΔE_f (raw)   -31.2 kJ per mole of atoms

2.
Here is a relaxed Pm2NdZn5 crystal from Alexandria via LeMat-Bulk. Energies are from PBE.

a b c (Å): 4.9257 4.9257 14.5719
angles (deg): 90.00 90.00 90.00
With the nearest neighbours (Å) after each atom.
Space group I4/mmm (No. 139)
Asymmetric unit:
Pm (0.0000, 0.0000, 0.2299) [4 per cell]  4 Zn 2.98
Nd (0.0000, 0.0000, 0.5000) [2 per cell]  8 Zn 2.97
Zn (0.0000, 0.0000, 0.0000) [2 per cell]  8 Zn 2.97
Zn (0.0000, 0.5000, 0.1144) [8 per cell]  2 Nd 2.97, 2 Zn 2.97, 2 Pm 2.98

Values from the calculation:
Total moment   0.00 μB per formula unit
Total DFT energy (no corrections)   -45.94 eV/cell

3.
Here is a relaxed TlCdIn crystal from Alexandria via LeMat-Bulk. Energies are from PBE.

a b c (Å): 3.4104 5.3757 8.9646
angles (deg): 89.96 88.63 89.98
With the nearest neighbours (Å) after each atom.
Space group P1 (No. 1)
Asymmetric unit:
Tl (0.0000, 0.0000, 0.0000) [1 per cell]  3 Cd 3.23-3.53, 4 In 3.39-3.43, 2 Tl 3.41
Tl (0.4944, 0.5002, 0.7753) [1 per cell]  3 In 3.23-3.47, 4 Cd 3.39-3.42, 2 Tl 3.41
Cd (0.5042, 0.9996, 0.3392) [1 per cell]  4 Cd 3.17-3.41, 6 In 3.25-3.32, 2 Tl 3.44-3.53
Cd (0.9956, 0.0001, 0.6398) [1 per cell]  4 Cd 3.17-3.41, 2 In 3.21-3.22, 5 Tl 3.23-3.42
In (0.5029, 0.4998, 0.1357) [1 per cell]  4 In 3.21-3.41, 5 Tl 3.23-3.43, 2 Cd 3.25
In (0.9968, 0.4998, 0.4427) [1 per cell]  4 In 3.21-3.41, 6 Cd 3.21-3.32, 2 Tl 3.40-3.47

Values from the calculation:
Total moment   0.00 μB per formula unit
Total DFT energy (no corrections)   -11.82 eV/cell

4.
Here is a relaxed CdPSN2 crystal from Alexandria via LeMat-Bulk. Energies are from PBE.

a b c (Å): 4.1791 4.1791 5.6081
angles (deg): 90.00 90.00 90.00
With the nearest neighbours (Å) after each atom.
Space group P4/mmm (No. 123)
Asymmetric unit:
Cd (0.0000, 0.0000, 0.0000) [1 per cell]  4 N 2.09
P (0.5000, 0.5000, 0.5000) [1 per cell]  4 S 2.96
S (0.0000, 0.0000, 0.5000) [1 per cell]  2 Cd 2.80, 4 P 2.96
N (0.0000, 0.5000, 0.0000) [2 per cell]  2 Cd 2.09

Values from the calculation:
Total moment   2.63 μB per formula unit
E above lowest polymorph   1417 meV per atom
ΔE_f (raw)   202.8 kJ per mole of atoms

5.
Here is a relaxed PrNd4Sn3 crystal from Alexandria via LeMat-Bulk. Energies are from PBE.

a b c (Å): 11.8803 4.8414 9.5182
angles (deg): 90.00 109.43 90.00
With the nearest neighbours (Å) after each atom.
Space group C2/m (No. 12)
Asymmetric unit:
Pr (0.0000, 0.0000, 0.0000) [2 per cell]  4 Sn 3.31, 4 Nd 3.70
Nd (0.1401, 0.0000, 0.4315) [4 per cell]  5 Sn 3.13-3.48, 2 Nd 3.48
Nd (0.1583, 0.5000, 0.8375) [4 per cell]  4 Sn 3.14-3.45
Sn (0.0000, 0.5000, 0.5000) [2 per cell]  6 Nd 3.13-3.14
Sn (0.1657, 0.5000, 0.2030) [4 per cell]  6 Nd 3.30-3.48, 2 Pr 3.31

Values from the calculation:
Total moment   0.00 μB per formula unit
Total DFT energy (no corrections)   -81.03 eV/cell

6.
Here is a relaxed HoPuBi crystal from Alexandria via LeMat-Bulk. Energies are from PBE.

a b c (Å): 3.3792 10.0181 10.3140
angles (deg): 90.00 90.00 90.00
With the nearest neighbours (Å) after each atom.
Space group Pmc2_1 (No. 26)
Asymmetric unit:
Ho (0.0000, 0.1673, 0.0000) [2 per cell]  3 Ho 3.38-3.41, 2 Pu 3.40-3.47, 6 Bi 3.42-3.69
Ho (0.0000, 0.3235, 0.2943) [2 per cell]  3 Pu 3.11-3.34, 4 Bi 3.31-3.46, 3 Ho 3.38-3.41
Pu (0.0000, 0.1694, 0.5810) [2 per cell]  3 Pu 3.29-3.38, 2 Ho 3.34-3.47, 6 Bi 3.45-3.66
Pu (0.0000, 0.4961, 0.5451) [2 per cell]  3 Ho 3.11-3.40, 3 Pu 3.29-3.38, 4 Bi 3.31-3.35
Bi (0.5000, 0.0399, 0.2925) [2 per cell]  6 Ho 3.31-3.69, 2 Bi 3.38, 4 Pu 3.46-3.66
Bi (0.5000, 0.3746, 0.7944) [2 per cell]  6 Pu 3.31-3.45, 2 Bi 3.38, 4 Ho 3.42-3.46

Values from the calculation:
Total moment   6.38 μB per formula unit
Total DFT energy (no corrections)   -92.67 eV/cell

7.
Here is a relaxed AcLa3Pr12 crystal from Alexandria via LeMat-Bulk. Energies are from PBE.

a b c (Å): 5.2855 5.2855 21.0983
angles (deg): 90.00 90.00 90.00
With the nearest neighbours (Å) after each atom.
Space group P4/mmm (No. 123)
Asymmetric unit:
Ac (0.0000, 0.0000, 0.0000) [1 per cell]  12 Pr 3.74-3.78
La (0.0000, 0.0000, 0.2519) [2 per cell]  12 Pr 3.72-3.74
La (0.0000, 0.0000, 0.5000) [1 per cell]  12 Pr 3.72-3.74
Pr (0.0000, 0.5000, 0.1280) [4 per cell]  2 La 3.72, 8 Pr 3.72-3.78, 2 Ac 3.78
Pr (0.0000, 0.5000, 0.3759) [4 per cell]  8 Pr 3.72-3.74, 4 La 3.72
Pr (0.5000, 0.5000, 0.0000) [1 per cell]  4 Ac 3.74, 8 Pr 3.78
Pr (0.5000, 0.5000, 0.2520) [2 per cell]  8 Pr 3.72, 4 La 3.74
Pr (0.5000, 0.5000, 0.5000) [1 per cell]  8 Pr 3.72, 4 La 3.74

Values from the calculation:
Total moment   0.00 μB per formula unit
Total DFT energy (no corrections)   -76.08 eV/cell

8.
Here is a relaxed NdTm3Ir4 crystal from Alexandria via LeMat-Bulk. Energies are from PBE.

a b c (Å): 4.9216 4.9216 6.6277
angles (deg): 90.00 90.00 90.00
With the nearest neighbours (Å) after each atom.
Space group P4/mmm (No. 123)
Asymmetric unit:
Nd (0.0000, 0.0000, 0.0000) [1 per cell]  8 Ir 3.00, 2 Tm 3.31
Tm (0.0000, 0.0000, 0.5000) [1 per cell]  8 Ir 2.94
Tm (0.5000, 0.5000, 0.0000) [1 per cell]  8 Ir 3.00, 2 Tm 3.31
Tm (0.5000, 0.5000, 0.5000) [1 per cell]  8 Ir 2.94
Ir (0.0000, 0.5000, 0.2577) [4 per cell]  6 Tm 2.94-3.00, 2 Nd 3.00, 1 Ir 3.21

Values from the calculation:
Total moment   0.00 μB per formula unit
Total DFT energy (no corrections)   -60.00 eV/cell